Here is an optimized crystal structure of SiHgCl2 from Alexandria via LeMat-Bulk. Energies are from GGA-PBE.

Lattice parameters (Å, degrees): 3.406 3.406 8.306 90.00 90.00 90.00
Space group P4mm (No. 99)
One atom of each set of equivalent atoms:
Si1 0.000 0.000 0.000 [1 per cell]
Hg1 0.500 0.500 0.767 [1 per cell]
Cl1 0.000 0.000 0.572 [1 per cell]
Cl2 0.500 0.500 0.177 [1 per cell]

Results
The raw formation energy is 0.0239 eV/atom. The volume comes out at 96 Å³ per cell.

=====

Here is an optimized crystal structure of TbHo3Er5 from Alexandria via LeMat-Bulk. Energies are from GGA-PBE.

Lattice parameters (Å, degrees): 14.633 8.270 11.199 90.00 114.34 90.00
Space group C2/m (No. 12)
One atom of each set of equivalent atoms:
Tb1 0.232 0.000 0.310 [4 per cell]
Ho1 0.000 0.000 0.000 [2 per cell]
Ho2 0.000 0.500 0.500 [2 per cell]
Ho3 0.016 0.000 0.272 [4 per cell]
Ho4 0.124 0.500 0.303 [4 per cell]
Er1 0.000 0.329 0.000 [4 per cell]
Er2 0.111 0.311 0.785 [8 per cell]
Er3 0.129 0.000 0.578 [4 per cell]
Er4 0.248 0.000 0.933 [4 per cell]

Results
The formation energy comes out at 0.561 eV/atom. The volume comes out at 1235 Å³ per cell.

=====

Here is an optimized crystal structure of BaGaRhO6 from Alexandria via LeMat-Bulk. Energies are from GGA-PBE.

Lattice parameters (Å, degrees): 5.2573 5.2573 5.7558 90.00 90.00 120.00
Space group P312 (No. 149)
One atom of each set of equivalent atoms:
Ba1 0.0000 0.0000 0.0000 [1 per cell]
Ga1 0.3333 0.6667 0.5000 [1 per cell]
Rh1 0.6667 0.3333 0.5000 [1 per cell]
O1 0.3973 0.0087 0.6934 [6 per cell]

Results
The raw formation energy is -1.2583 eV/atom. The volume comes out at 138 Å³ per cell.

=====

Here is an optimized crystal structure of ZrCr2Cd from Alexandria via LeMat-Bulk. Energies are from GGA-PBE.

Lattice parameters (Å, degrees): 3.042 3.042 7.362 90.00 90.00 90.00
Space group P4mm (No. 99)
One atom of each set of equivalent atoms:
Zr1 0.000 0.000 0.000 [1 per cell]
Cr1 0.000 0.000 0.584 [1 per cell]
Cr2 0.500 0.500 0.741 [1 per cell]
Cd1 0.500 0.500 0.321 [1 per cell]

Results
The formation energy comes out at 0.126 eV/atom. The volume comes out at 68 Å³ per cell.

=====

Here is an optimized crystal structure of Sr3Ca3Hg4 from Alexandria via LeMat-Bulk. Energies are from GGA-PBE.

Lattice parameters (Å, degrees): 4.412 12.411 12.432 90.00 90.00 90.00
Space group Amm2 (No. 38)
One atom of each set of equivalent atoms:
Sr1 0.000 0.000 0.000 [2 per cell]
Sr2 0.000 0.158 0.652 [4 per cell]
Ca1 0.000 0.000 0.314 [2 per cell]
Ca2 0.500 0.247 0.402 [4 per cell]
Hg1 0.500 0.000 0.504 [2 per cell]
Hg2 0.500 0.000 0.796 [2 per cell]
Hg3 0.500 0.136 0.162 [4 per cell]

Results
The formation energy comes out at -0.452 eV/atom. The volume comes out at 681 Å³ per cell.

=====

Here is an optimized crystal structure of NdTm2Cd from Alexandria via LeMat-Bulk. Energies are from GGA-PBE.

Lattice parameters (Å, degrees): 3.5917 3.5917 32.1817 90.00 90.00 120.00
Space group R3m (No. 160, hexagonal axes)
One atom of each set of equivalent atoms:
Nd1 0.0000 0.0000 0.0000 [3 per cell]
Tm1 0.0000 0.0000 0.5757 [3 per cell]
Tm2 0.0000 0.0000 0.7576 [3 per cell]
Cd1 0.0000 0.0000 0.1664 [3 per cell]

Results
The formation energy comes out at -0.051 eV/atom. The volume comes out at 360 Å³ per cell.

=====

Here is an optimized crystal structure of BaTe2Ru from Alexandria via LeMat-Bulk. Energies are from GGA-PBE.

Lattice parameters (Å, degrees): 4.0487 4.0487 28.9144 90.00 90.00 120.00
Space group R-3m (No. 166, hexagonal axes)
One atom of each set of equivalent atoms:
Ba1 0.0000 0.0000 0.0000 [3 per cell]
Te1 0.0000 0.0000 0.1198 [6 per cell]
Ru1 0.0000 0.0000 0.5000 [3 per cell]

Results
The raw formation energy is -0.1596 eV/atom. The volume comes out at 410 Å³ per cell.

=====

Here is an optimized crystal structure of SrDyY2 from Alexandria via LeMat-Bulk. Energies are from GGA-PBE.

Lattice parameters (Å, degrees): 3.6812 3.6812 36.4698 90.00 90.00 120.00
Space group R3m (No. 160, hexagonal axes)
One atom of each set of equivalent atoms:
Sr1 0.0000 0.0000 0.0000 [3 per cell]
Dy1 0.0000 0.0000 0.1658 [3 per cell]
Y1 0.0000 0.0000 0.5763 [3 per cell]
Y2 0.0000 0.0000 0.7558 [3 per cell]

Results
The formation energy comes out at 0.123 eV/atom. The volume comes out at 428 Å³ per cell.

=====

Here is an optimized crystal structure of RbSBr2 from Alexandria via LeMat-Bulk. Energies are from GGA-PBE.

Lattice parameters (Å, degrees): 8.006 8.006 8.006 90.00 90.00 90.00
Space group Fm-3m (No. 225)
One atom of each set of equivalent atoms:
Rb1 0.000 0.000 0.000 [4 per cell]
S1 0.000 0.000 0.500 [4 per cell]
Br1 0.250 0.250 0.250 [8 per cell]

Results
The raw formation energy is -0.2023 eV/atom. The volume comes out at 513 Å³ per cell.

=====

Here is an optimized crystal structure of BiPPd2Br from Alexandria via LeMat-Bulk. Energies are from GGA-PBE.

Lattice parameters (Å, degrees): 5.234 5.234 5.193 90.00 90.00 90.00
Space group P4/mmm (No. 123)
One atom of each set of equivalent atoms:
Bi1 0.000 0.000 0.000 [1 per cell]
P1 0.000 0.000 0.500 [1 per cell]
Pd1 0.000 0.500 0.000 [2 per cell]
Br1 0.500 0.500 0.500 [1 per cell]

Results
The raw formation energy is 0.8378 eV/atom. The volume comes out at 142 Å³ per cell.

=====

Here is an optimized crystal structure of Ca2VRu from Alexandria via LeMat-Bulk. Energies are from GGA-PBE.

Lattice parameters (Å, degrees): 10.598 10.598 4.584 90.00 90.00 90.00
Space group I-42d (No. 122)
One atom of each set of equivalent atoms:
Ca1 0.087 0.750 0.125 [8 per cell]
V1 0.000 0.000 0.500 [4 per cell]
Ru1 0.000 0.000 0.000 [4 per cell]

Results
The formation energy comes out at 0.590 eV/atom. The volume comes out at 515 Å³ per cell.

=====

Here is an optimized crystal structure of LaCr2Br from Alexandria via LeMat-Bulk. Energies are from GGA-PBE.

Lattice parameters (Å, degrees): 4.368 5.832 7.381 90.00 90.00 90.00
Space group Imm2 (No. 44)
One atom of each set of equivalent atoms:
La1 0.000 0.000 0.000 [2 per cell]
Cr1 0.000 0.000 0.484 [2 per cell]
Cr2 0.000 0.500 0.801 [2 per cell]
Br1 0.000 0.500 0.190 [2 per cell]

Results
The raw formation energy is 0.2525 eV/atom. The volume comes out at 188 Å³ per cell.